Record 1
Below is a relaxed structure of KAg2Hg2, with properties calculated at the PBEsol level.

a b c (Å): 7.234 7.234 7.234
angles (deg): 145.41 145.41 49.72
Fractional coordinates of all 5 atoms:
1 K 0.000 0.000 0.000
2 Ag 0.250 0.750 0.500
3 Ag 0.750 0.250 0.500
4 Hg 0.390 0.390 0.000
5 Hg 0.610 0.610 0.000

* formation enthalpy at 0 K: -0.6 kcal/mol of atoms
* crystal system: tetragonal

---

Record 2
Below is a relaxed structure of KAgHg2, with properties calculated at the PBEsol level.

a b c (Å): 4.818 4.818 6.270
angles (deg): 112.39 112.39 59.82
Fractional coordinates of all 4 atoms:
1 K 0.000 0.000 0.000
2 Ag 0.500 0.500 0.500
3 Hg 0.206 0.206 0.619
4 Hg 0.794 0.794 0.381

* formation enthalpy at 0 K: -2.5 kcal/mol of atoms
* energy relative to the lowest polymorph listed for this composition: 0 meV per atom
* crystal system: monoclinic

---

Record 3
Below is a relaxed structure of KAg2Hg, with properties calculated at the PBEsol level.

a b c (Å): 2.943 4.310 7.352
angles (deg): 90.00 90.00 90.00
Fractional coordinates of all 4 atoms:
1 K 0.000 0.000 0.000
2 Ag 0.500 0.500 0.309
3 Ag 0.500 0.500 0.691
4 Hg 0.000 0.000 0.500

* formation enthalpy at 0 K: 2.8 kcal/mol of atoms
* energy relative to the lowest polymorph listed for this composition: 132 meV per atom
* crystal system: orthorhombic

---

Among the records above, which one has the highest formation enthalpy at 0 K?
KAg2Hg

---

Please write out number 2 again, unchanged.
Below is a relaxed structure of KAgHg2, with properties calculated at the PBEsol level.

a b c (Å): 4.818 4.818 6.270
angles (deg): 112.39 112.39 59.82
Fractional coordinates of all 4 atoms:
1 K 0.000 0.000 0.000
2 Ag 0.500 0.500 0.500
3 Hg 0.206 0.206 0.619
4 Hg 0.794 0.794 0.381

* formation enthalpy at 0 K: -2.5 kcal/mol of atoms
* energy relative to the lowest polymorph listed for this composition: 0 meV per atom
* crystal system: monoclinic

---

Which value of formation enthalpy at 0 K does entry 3 give?
2.8 kcal/mol of atoms

---

formation enthalpy at 0 K of number 1 (KAg2Hg2)?
-0.6 kcal/mol of atoms